1.
# Er2Al3Cd

Er2Al3Cd after structural relaxation (PBE, Alexandria).

Cell lengths 3.7766, 4.5458, 15.9310 Å; angles 90.00, 90.00, 90.00 degrees
Last column: nearest neighbours and their distance in Å.
Space group Imm2 (No. 44)
Symmetry-distinct sites (fractional):
Er1 0.0000 0.0000 0.0000 [2 per cell]  6 Al 3.10-3.40, 4 Cd 3.39
Er2 0.0000 0.5000 0.2822 [2 per cell]  10 Al 3.10-3.41, 2 Cd 3.40
Al1 0.0000 0.0000 0.4419 [2 per cell]  2 Al 2.48, 1 Cd 2.59
Al2 0.0000 0.5000 0.6831 [2 per cell]  1 Al 2.51, 2 Cd 2.59
Al3 0.0000 0.5000 0.8410 [2 per cell]  3 Al 2.48-2.51
Cd1 0.0000 0.0000 0.6047 [2 per cell]  3 Al 2.59

---

2.
# Er5Al2Cd

Er5Al2Cd after structural relaxation (PBE, Alexandria).

Summary:
**Polymorph energy (0 for the lowest one)**: 0.000 eV/atom

Cell lengths 7.6564, 7.6564, 14.6367 Å; angles 90.00, 90.00, 90.00 degrees
Last column: nearest neighbours and their distance in Å.
Space group I4/mcm (No. 140)
Symmetry-distinct sites (fractional):
Er1 0.0000 0.0000 0.0000 [4 per cell]  4 Al 3.04
Er2 0.1684 0.3316 0.1466 [16 per cell]  3 Al 3.11-3.12, 2 Cd 3.22
Al1 0.1222 0.3778 0.5000 [8 per cell]  1 Al 2.65
Cd1 0.0000 0.0000 0.2500 [4 per cell]  8 Er 3.22

---

3.
# ErAlCd2

ErAlCd2 after structural relaxation (PBE, Alexandria).

Summary:
**Polymorph energy (0 for the lowest one)**: 0.094 eV/atom

Cell lengths 7.0767, 7.0767, 7.0767 Å; angles 90.00, 90.00, 90.00 degrees
Last column: nearest neighbours and their distance in Å.
Space group Fm-3m (No. 225)
Symmetry-distinct sites (fractional):
Er1 0.0000 0.0000 0.0000 [4 per cell]  8 Cd 3.06
Al1 0.0000 0.0000 0.5000 [4 per cell]  8 Cd 3.06
Cd1 0.2500 0.2500 0.2500 [8 per cell]  4 Er 3.06, 4 Al 3.06

---

4.
# Er4Al2Cd

Er4Al2Cd after structural relaxation (PBE, Alexandria).

Summary:
**Polymorph energy (0 for the lowest one)**: 0.179 eV/atom

Cell lengths 5.0185, 5.0185, 27.1429 Å; angles 90.00, 90.00, 120.00 degrees
Last column: nearest neighbours and their distance in Å.
Space group R-3m (No. 166, hexagonal axes)
Symmetry-distinct sites (fractional):
Er1 0.0000 0.0000 0.1191 [6 per cell]  3 Cd 3.17, 3 Al 3.18
Er2 0.0000 0.0000 0.2946 [6 per cell]  4 Al 2.97-3.02
Al1 0.0000 0.0000 0.4040 [6 per cell]  1 Cd 2.60
Cd1 0.0000 0.0000 0.5000 [3 per cell]  2 Al 2.60

---

5.
# Er8AlCd2

Er8AlCd2 after structural relaxation (PBE, Alexandria).

Cell lengths 17.7237, 5.1951, 6.9703 Å; angles 90.00, 107.32, 90.00 degrees
Last column: nearest neighbours and their distance in Å.
Space group C2/m (No. 12)
Symmetry-distinct sites (fractional):
Er1 0.0216 0.0000 0.2710 [4 per cell]  1 Cd 3.05, 2 Al 3.13, 2 Er 3.38
Er2 0.0923 0.5000 0.9546 [4 per cell]  1 Al 3.10, 2 Cd 3.30, 3 Er 3.38-3.39
Er3 0.1634 0.5000 0.4631 [4 per cell]  3 Cd 2.96-3.22, 1 Al 2.98
Er4 0.1946 0.0000 0.7928 [4 per cell]  1 Cd 2.97
Al1 0.0000 0.5000 0.5000 [2 per cell]  8 Er 2.98-3.13
Cd1 0.1849 0.0000 0.2102 [4 per cell]  7 Er 2.96-3.30

---

6.
# ErAlCd

ErAlCd after structural relaxation (PBE, Alexandria).

Cell lengths 3.3252, 3.3252, 12.1303 Å; angles 90.00, 90.00, 90.00 degrees
Last column: nearest neighbours and their distance in Å.
Space group I4mm (No. 107)
Symmetry-distinct sites (fractional):
Er1 0.0000 0.0000 0.0000 [2 per cell]  4 Al 3.08, 4 Cd 3.28, 4 Er 3.33
Al1 0.0000 0.0000 0.6636 [2 per cell]  4 Cd 2.96, 4 Er 3.08
Cd1 0.0000 0.0000 0.3115 [2 per cell]  4 Al 2.96, 4 Er 3.28

---

7.
# Er3AlCd3

Er3AlCd3 after structural relaxation (PBE, Alexandria).

Cell lengths 3.5254, 4.7894, 20.3407 Å; angles 90.00, 90.00, 90.00 degrees
Last column: nearest neighbours and their distance in Å.
Space group Imm2 (No. 44)
Symmetry-distinct sites (fractional):
Er1 0.0000 0.0000 0.0000 [2 per cell]  7 Cd 3.19-3.27, 2 Er 3.53
Er2 0.0000 0.0000 0.3984 [2 per cell]  2 Al 3.17, 5 Cd 3.18-3.23, 2 Er 3.53
Er3 0.0000 0.5000 0.2050 [2 per cell]  4 Al 3.25, 8 Cd 3.29-3.49, 2 Er 3.53
Al1 0.0000 0.5000 0.7690 [2 per cell]  3 Cd 2.72-2.82
Cd1 0.0000 0.0000 0.5571 [2 per cell]  2 Cd 2.88, 4 Er 3.19
Cd2 0.0000 0.0000 0.8427 [2 per cell]  2 Al 2.82
Cd3 0.0000 0.5000 0.6354 [2 per cell]  1 Al 2.72, 2 Cd 2.88

---

8.
# Er5Al2Cd2

Er5Al2Cd2 after structural relaxation (PBE, Alexandria).

Cell lengths 16.4097, 7.6573, 7.6021 Å; angles 90.00, 90.00, 90.00 degrees
Last column: nearest neighbours and their distance in Å.
Space group Cmce (No. 64)
Symmetry-distinct sites (fractional):
Er1 0.0000 0.0000 0.0000 [4 per cell]  4 Al 3.03-3.05
Er2 0.1309 0.1839 0.3223 [16 per cell]  3 Al 3.04-3.19, 3 Cd 3.13-3.17
Al1 0.0000 0.1193 0.6202 [8 per cell]  1 Al 2.58
Cd1 0.2189 0.0000 0.0000 [8 per cell]  6 Er 3.13-3.17

---

9.
# Er2Al2Cd

Er2Al2Cd after structural relaxation (PBE, Alexandria).

Cell lengths 4.4612, 14.6236, 3.4811 Å; angles 90.00, 90.00, 90.00 degrees
Last column: nearest neighbours and their distance in Å.
Space group Cmmm (No. 65)
Symmetry-distinct sites (fractional):
Er1 0.0000 0.1217 0.0000 [4 per cell]  6 Al 3.07-3.11, 4 Cd 3.34
Al1 0.0000 0.2976 0.5000 [4 per cell]  2 Al 2.63
Cd1 0.0000 0.5000 0.5000 [2 per cell]  2 Al 2.96

---

10.
# Er12AlCd6

Er12AlCd6 after structural relaxation (PBE, Alexandria).

Cell lengths 14.6866, 14.6866, 8.0803 Å; angles 90.00, 90.00, 120.00 degrees
Last column: nearest neighbours and their distance in Å.
Space group R-3 (No. 148, hexagonal axes)
Symmetry-distinct sites (fractional):
Er1 0.0090 0.8719 0.1703 [18 per cell]  7 Er 3.23-3.42, 4 Cd 3.27-3.41, 1 Al 3.30
Er2 0.0700 0.5059 0.1671 [18 per cell]  6 Er 3.23-3.42, 5 Cd 3.24-3.37, 1 Al 3.38
Al1 0.0000 0.0000 0.5000 [3 per cell]  12 Er 3.30-3.38
Cd1 0.0285 0.7532 0.8311 [18 per cell]  9 Er 3.24-3.41, 3 Cd 3.32-3.53

---

11.
# ErAl2Cd

ErAl2Cd after structural relaxation (PBE, Alexandria).

Cell lengths 4.3756, 4.3756, 4.2963 Å; angles 90.00, 90.00, 90.00 degrees
Last column: nearest neighbours and their distance in Å.
Space group P4/mmm (No. 123)
Symmetry-distinct sites (fractional):
Er1 0.0000 0.0000 0.0000 [1 per cell]  8 Al 3.07, 4 Cd 3.09
Al1 0.0000 0.5000 0.5000 [2 per cell]  4 Cd 3.07, 4 Er 3.07, 4 Al 3.09
Cd1 0.5000 0.5000 0.0000 [1 per cell]  8 Al 3.07, 4 Er 3.09

---

12.
# Er7Al2Cd2

Er7Al2Cd2 after structural relaxation (PBE, Alexandria).

Cell lengths 7.3432, 11.0847, 7.8098 Å; angles 90.00, 90.00, 90.00 degrees
Last column: nearest neighbours and their distance in Å.
Space group Cmmm (No. 65)
Symmetry-distinct sites (fractional):
Er1 0.0000 0.0000 0.0000 [2 per cell]  2 Al 3.18
Er2 0.0000 0.5000 0.2389 [4 per cell]  2 Al 3.01, 2 Cd 3.08, 4 Er 3.34
Er3 0.2500 0.2500 0.2851 [8 per cell]  2 Al 2.91
Al1 0.0000 0.2869 0.0000 [4 per cell]  7 Er 2.91-3.18
Cd1 0.1862 0.0000 0.5000 [4 per cell]  1 Cd 2.73

---

Number 1: DFT formation energy -0.305 eV per atom, spin magnetization 0.000 μB per atom. Number 2: DFT formation energy -0.262 eV per atom, spin magnetization 0.000 μB per atom. Number 3: DFT formation energy -0.155 eV per atom, spin magnetization 0.000 μB per atom. Number 4: DFT formation energy -0.047 eV per atom, spin magnetization 0.000 μB per atom. Number 5: DFT formation energy -0.140 eV per atom, spin magnetization 0.000 μB per atom. Number 6: DFT formation energy -0.193 eV per atom, spin magnetization 0.061 μB per atom. Number 7: DFT formation energy -0.295 eV per atom, spin magnetization 0.000 μB per atom. Number 8: DFT formation energy -0.270 eV per atom, spin magnetization 0.000 μB per atom. Number 9: DFT formation energy -0.398 eV per atom, spin magnetization 0.000 μB per atom. Number 10: DFT formation energy -0.129 eV per atom, spin magnetization 0.000 μB per atom. Number 11: DFT formation energy -0.321 eV per atom, spin magnetization 0.000 μB per atom. Number 12: DFT formation energy 0.010 eV per atom, spin magnetization 0.000 μB per atom.